The following is a DFT calculation (PBE) of a relaxed Sm3Sn3Ru2 crystal.

Calculated values
* V: 24.3 Å³ per atom
* DFT formation energy: -0.5411 eV per atom

Lattice parameters (Å, degrees): 8.4324 15.5128 5.9467 90.00 90.00 90.00
Fractional positions:
1 Sm 0.0345 0.1114 0.1023
2 Sm 0.0345 0.3886 0.1023
3 Sm 0.1749 0.2500 0.6302
4 Sm 0.3251 0.7500 0.1302
5 Sm 0.4655 0.6114 0.6023
6 Sm 0.4655 0.8886 0.6023
7 Sm 0.5345 0.1114 0.3977
8 Sm 0.5345 0.3886 0.3977
9 Sm 0.6749 0.2500 0.8698
10 Sm 0.8251 0.7500 0.3698
11 Sm 0.9655 0.6114 0.8977
12 Sm 0.9655 0.8886 0.8977
13 Sn 0.1713 0.7500 0.6222
14 Sn 0.1792 0.0347 0.6015
15 Sn 0.1792 0.4653 0.6015
16 Sn 0.3208 0.5347 0.1015
17 Sn 0.3208 0.9653 0.1015
18 Sn 0.3287 0.2500 0.1222
19 Sn 0.6713 0.7500 0.8778
20 Sn 0.6792 0.0347 0.8985
21 Sn 0.6792 0.4653 0.8985
22 Sn 0.8208 0.5347 0.3985
23 Sn 0.8208 0.9653 0.3985
24 Sn 0.8287 0.2500 0.3778
25 Ru 0.1018 0.6098 0.3574
26 Ru 0.1018 0.8902 0.3574
27 Ru 0.3982 0.1098 0.8574
28 Ru 0.3982 0.3902 0.8574
29 Ru 0.6018 0.6098 0.1426
30 Ru 0.6018 0.8902 0.1426
31 Ru 0.8982 0.1098 0.6426
32 Ru 0.8982 0.3902 0.6426